22
Lattice="7.122 0.000 0.000 3.561 6.168 0.000 3.561 2.056 5.815" Properties=species:S:1:pos:R:3 comment="GGA+U Tb2Mn2O7, relaxed" spacegroup="Fd-3m, No. 227" m_tot_mub_per_atom=0.543 total_energy_ev_per_fu=-85.676 pbc="T T T"
Mn 5.342 5.140 3.634
Mn 7.122 4.112 0.727
Mn 7.122 2.056 3.634
Mn 8.903 5.140 3.634
O 12.142 5.326 5.552
O 5.663 3.270 4.099
O 9.224 7.010 3.170
O 3.561 2.056 1.454
O 0.000 0.000 0.000
O 10.683 7.852 5.552
O 8.581 3.270 4.099
O 9.224 5.326 5.552
O 8.581 4.954 1.717
O 12.142 7.010 3.170
O 7.122 2.428 1.717
O 10.683 4.483 3.170
O 5.663 4.954 1.717
O 7.122 5.796 4.099
Tb 1.781 1.028 0.727
Tb 3.561 4.112 0.727
Tb 5.342 1.028 0.727
Tb 3.561 2.056 3.634